# Np2U2Si, relaxed, DFT GGA-PBE
data_Np2U2Si
_chemical_formula_sum 'Np4 U4 Si2'
_space_group_name_H-M_alt 'C 1 2/m 1'
_space_group_IT_number 12
_space_group_name_Hall '-C 2y'
_cell_length_a 6.911
_cell_length_b 6.753
_cell_length_c 4.853
_cell_angle_alpha 90.00
_cell_angle_beta 123.34
_cell_angle_gamma 90.00
loop_
_atom_site_label
_atom_site_fract_x
_atom_site_fract_y
_atom_site_fract_z
_atom_site_occupancy
Np1 0.000 0.219 0.000 1
U1 0.191 0.000 0.768 1
Si1 0.000 0.500 0.500 1
# * total energy: -0.7829 Ry per atom
# * density of states at the Fermi level: 21.70 states/eV/cell
# * formation energy (no corrections): 0.125 eV per atom